Material: V3FeS
Method: DFT, PBE
State: relaxed

abc: 4.2608 4.2608 4.2608
angles: 90.00 90.00 90.00
Element x y z (fractional)
V 0.0000 0.0000 0.5000
V 0.0000 0.5000 0.0000
V 0.5000 0.0000 0.0000
Fe 0.5000 0.5000 0.5000
S 0.0000 0.0000 0.0000

E_form (uncorrected): 291.1 meV/atom
size of the total moment: 0.4 μB per formula unit
SG: No. 221
E_tot: -7.698 eV per atom
distance to the lowest polymorph of the same formula: 0.000 eV per atom